1.
Here is an optimized crystal structure of SrTaAg2 from Alexandria via LeMat-Bulk. Energies are from GGA-PBE.

POSCAR file:
```
SrTaAg2
1.0
-1.920 6.311 4.451
-5.027 -4.503 4.216
-1.053 0.163 6.428
Ag Ta Sr
4 2 2
Direct
0.078 0.625 0.250
0.875 0.922 0.750
0.672 0.125 0.250
0.375 0.328 0.750
0.750 0.250 0.500
0.000 0.000 0.000
0.250 0.750 0.500
0.500 0.500 0.000
```

Values from the calculation:
Symmetry = No. 122
Calculated volume = 208.1 Å³/cell
Relative energy among the computed polymorphs = 450 meV per atom

***

2.
Here is an optimized crystal structure of SrTaAg2 from Alexandria via LeMat-Bulk. Energies are from GGA-PBE.

POSCAR file:
```
SrTaAg2
1.0
-2.829 -5.064 -0.607
2.883 -4.938 1.149
-0.907 5.151 2.581
Sr Ag Ta
1 2 1
Direct
0.500 0.500 0.000
0.000 0.000 0.000
0.250 0.750 0.500
0.750 0.250 0.500
```

Values from the calculation:
Symmetry = No. 119
Calculated volume = 89.5 Å³/cell
Relative energy among the computed polymorphs = 364 meV per atom

***

3.
Here is an optimized crystal structure of SrTaAg3 from Alexandria via LeMat-Bulk. Energies are from GGA-PBE.

POSCAR file:
```
SrTaAg3
1.0
5.226 0.000 0.000
0.000 5.226 0.000
0.000 0.000 5.226
Ta Ag Sr
1 3 1
Direct
0.000 0.000 0.000
0.000 0.500 0.000
0.500 0.000 0.000
0.000 0.000 0.500
0.500 0.500 0.500
```

Values from the calculation:
Symmetry = No. 221
Calculated volume = 142.7 Å³/cell
Relative energy among the computed polymorphs = 0 meV per atom

***

4.
Here is an optimized crystal structure of SrTaAg2 from Alexandria via LeMat-Bulk. Energies are from GGA-PBE.

POSCAR file:
```
SrTaAg2
1.0
-3.957 -3.154 -0.096
-4.303 1.406 -2.265
-1.397 -2.175 -4.351
Ag Ta Sr
2 1 1
Direct
0.750 0.750 0.750
0.250 0.250 0.250
0.500 0.500 0.500
0.000 0.000 0.000
```

Values from the calculation:
Symmetry = No. 225
Calculated volume = 91.7 Å³/cell
Relative energy among the computed polymorphs = 250 meV per atom

***

5.
Here is an optimized crystal structure of SrTaAg2 from Alexandria via LeMat-Bulk. Energies are from GGA-PBE.

POSCAR file:
```
SrTaAg2
1.0
5.791 0.019 0.017
5.018 2.890 0.017
1.396 0.376 5.221
Sr Ta Ag
1 1 2
Direct
0.516 0.516 0.439
0.728 0.728 0.824
0.982 0.982 0.948
0.274 0.274 0.289
```

Values from the calculation:
Symmetry = No. 8
Calculated volume = 86.8 Å³/cell
Relative energy among the computed polymorphs = 137 meV per atom

***

6.
Here is an optimized crystal structure of SrTaAg2 from Alexandria via LeMat-Bulk. Energies are from GGA-PBE.

POSCAR file:
```
SrTaAg2
1.0
3.395 0.000 0.000
0.000 3.391 0.000
0.000 0.000 7.897
Ta Sr Ag
1 1 2
Direct
0.500 0.500 0.804
0.000 0.000 0.494
0.500 0.500 0.200
0.000 0.000 0.002
```

Values from the calculation:
Symmetry = No. 99
Calculated volume = 90.9 Å³/cell
Relative energy among the computed polymorphs = 133 meV per atom

***

7.
Here is an optimized crystal structure of SrTaAg2 from Alexandria via LeMat-Bulk. Energies are from GGA-PBE.

POSCAR file:
```
SrTaAg2
1.0
-4.210 2.927 -2.707
-1.178 -2.214 -5.228
0.078 -1.236 5.665
Ag Ta Sr
2 1 1
Direct
0.029 0.029 0.000
0.471 0.471 0.000
0.250 0.750 0.500
0.750 0.250 0.500
```

Values from the calculation:
Symmetry = No. 71
Calculated volume = 93.9 Å³/cell
Relative energy among the computed polymorphs = 368 meV per atom

***

8.
Here is an optimized crystal structure of SrTaAg2 from Alexandria via LeMat-Bulk. Energies are from GGA-PBE.

POSCAR file:
```
SrTaAg2
1.0
4.994 0.000 0.000
2.497 4.325 0.000
2.497 1.442 4.078
Ta Sr Ag
1 1 2
Direct
0.750 0.750 0.750
0.500 0.500 0.500
0.250 0.250 0.250
0.000 0.000 0.000
```

Values from the calculation:
Symmetry = No. 216
Calculated volume = 88.1 Å³/cell
Relative energy among the computed polymorphs = 490 meV per atom

***

9.
Here is an optimized crystal structure of Sr4TaAg from Alexandria via LeMat-Bulk. Energies are from GGA-PBE.

POSCAR file:
```
Sr4TaAg
1.0
0.000 4.860 4.860
4.860 0.000 4.860
4.860 4.860 0.000
Sr Ta Ag
4 1 1
Direct
0.376 0.376 0.376
0.376 0.376 0.873
0.873 0.376 0.376
0.376 0.873 0.376
0.750 0.750 0.750
0.000 0.000 0.000
```

Values from the calculation:
Symmetry = No. 216
Calculated volume = 229.6 Å³/cell
Uncorrected energy = -2.440 eV per atom

***

10.
Here is an optimized crystal structure of SrTb2Ag from Alexandria via LeMat-Bulk. Energies are from GGA-PBE.

POSCAR file:
```
SrTb2Ag
1.0
-3.608 0.533 0.570
-0.074 -2.917 2.261
2.040 5.774 7.514
Tb Sr Ag
2 1 1
Direct
0.000 0.000 0.182
0.000 0.000 0.818
0.500 0.500 0.500
0.500 0.500 0.000
```

Values from the calculation:
Symmetry = No. 123
Calculated volume = 132.1 Å³/cell
Relative energy among the computed polymorphs = 0 meV per atom

***

11.
Here is an optimized crystal structure of SrTb2Ag from Alexandria via LeMat-Bulk. Energies are from GGA-PBE.

POSCAR file:
```
SrTb2Ag
1.0
-1.529 -3.380 0.065
1.707 -2.774 1.776
-5.526 0.658 10.213
Ag Tb Sr
1 2 1
Direct
0.500 0.500 0.500
0.896 0.896 0.311
0.104 0.104 0.689
0.000 0.000 0.000
```

Values from the calculation:
Symmetry = No. 166
Calculated volume = 136.3 Å³/cell
Relative energy among the computed polymorphs = 237 meV per atom

***

12.
Here is an optimized crystal structure of Sr3TbAg4 from Alexandria via LeMat-Bulk. Energies are from GGA-PBE.

POSCAR file:
```
Sr3TbAg4
1.0
-0.564 3.270 -1.921
-3.318 0.516 1.851
7.489 7.886 11.225
Ag Sr Tb
4 3 1
Direct
0.000 0.000 0.101
0.000 0.000 0.629
0.000 0.000 0.371
0.000 0.000 0.899
0.500 0.500 0.500
0.500 0.500 0.758
0.500 0.500 0.242
0.500 0.500 0.000
```

Values from the calculation:
Symmetry = No. 123
Calculated volume = 229.8 Å³/cell
Uncorrected energy = -2.904 eV per atom

***

13.
Here is an optimized crystal structure of Sr3Tb2AgTe6 from Alexandria via LeMat-Bulk. Energies are from GGA-PBE.

POSCAR file:
```
Sr3Tb2AgTe6
1.0
-0.831 -1.406 7.734
-1.038 -5.851 -5.212
7.832 0.718 -0.372
Sr Te Ag Tb
3 6 1 2
Direct
0.500 0.500 0.500
0.165 0.835 0.500
0.835 0.165 0.500
0.077 0.411 0.229
0.411 0.077 0.229
0.923 0.589 0.771
0.259 0.259 0.773
0.589 0.923 0.771
0.741 0.741 0.227
0.000 0.000 0.000
0.667 0.333 0.000
0.333 0.667 0.000
```

Values from the calculation:
Symmetry = No. 12
Calculated volume = 401.7 Å³/cell
Formation energy from raw total energies = -1.345 eV/atom

***

14.
Here is an optimized crystal structure of Sr2TbAgTe4 from Alexandria via LeMat-Bulk. Energies are from GGA-PBE.

POSCAR file:
```
Sr2TbAgTe4
1.0
4.563 0.000 0.000
0.000 7.970 0.113
0.000 -2.812 7.356
Te Tb Sr Ag
4 1 2 1
Direct
0.000 0.738 0.232
0.000 0.262 0.768
0.500 0.759 0.779
0.500 0.241 0.221
0.500 0.500 0.000
0.000 0.500 0.500
0.500 0.000 0.500
0.000 0.000 0.000
```

Values from the calculation:
Symmetry = No. 10
Calculated volume = 269.0 Å³/cell
Formation energy from raw total energies = -1.252 eV/atom

***

15.
Here is an optimized crystal structure of SrTbAgTe3 from Alexandria via LeMat-Bulk. Energies are from GGA-PBE.

POSCAR file:
```
SrTbAgTe3
1.0
-0.038 -4.306 -1.057
8.126 -0.979 3.699
-6.356 -1.802 7.568
Sr Tb Te Ag
2 2 6 2
Direct
0.750 0.805 0.749
0.250 0.195 0.251
0.250 0.677 0.167
0.750 0.323 0.833
0.250 0.743 0.482
0.750 0.432 0.155
0.250 0.094 0.871
0.750 0.906 0.129
0.750 0.257 0.518
0.250 0.568 0.845
0.250 0.083 0.585
0.750 0.917 0.415
```

Values from the calculation:
Symmetry = No. 11
Calculated volume = 388.2 Å³/cell
Formation energy from raw total energies = -1.217 eV/atom

***

16.
Here is an optimized crystal structure of SrTb2Tl2Ag2 from Alexandria via LeMat-Bulk. Energies are from GGA-PBE.

POSCAR file:
```
SrTb2Tl2Ag2
1.0
-0.943 -2.682 4.103
-2.883 -4.065 -0.283
6.270 -7.483 -0.414
Tb Ag Tl Sr
2 2 2 1
Direct
0.135 0.135 0.596
0.865 0.865 0.404
0.443 0.443 0.670
0.557 0.557 0.330
0.745 0.745 0.765
0.255 0.255 0.235
0.000 0.000 0.000
```

Values from the calculation:
Symmetry = No. 166
Calculated volume = 201.5 Å³/cell
Uncorrected energy = -3.266 eV per atom

***

17.
Here is an optimized crystal structure of SrTbZnAg from Alexandria via LeMat-Bulk. Energies are from GGA-PBE.

POSCAR file:
```
SrTbZnAg
1.0
5.300 0.000 0.000
2.650 4.590 0.000
2.650 1.530 4.328
Zn Ag Tb Sr
1 1 1 1
Direct
0.750 0.750 0.750
0.250 0.250 0.250
0.000 0.000 0.000
0.500 0.500 0.500
```

Values from the calculation:
Symmetry = No. 216
Calculated volume = 105.3 Å³/cell
Uncorrected energy = -2.806 eV per atom

***

18.
Here is an optimized crystal structure of SrTcAg2 from Alexandria via LeMat-Bulk. Energies are from GGA-PBE.

POSCAR file:
```
SrTcAg2
1.0
-0.566 -0.788 -2.856
-0.742 -2.778 0.912
-8.525 2.597 0.974
Ag Sr Tc
2 1 1
Direct
0.000 0.000 0.994
0.500 0.500 0.217
0.000 0.000 0.509
0.500 0.500 0.780
```

Values from the calculation:
Symmetry = No. 99
Calculated volume = 81.6 Å³/cell
Relative energy among the computed polymorphs = 59 meV per atom

***

19.
Here is an optimized crystal structure of SrTcAg2 from Alexandria via LeMat-Bulk. Energies are from GGA-PBE.

POSCAR file:
```
SrTcAg2
1.0
-3.204 -0.473 4.921
-2.121 -5.332 1.333
4.856 3.183 -0.999
Tc Ag Sr
1 2 1
Direct
0.750 0.250 0.500
0.526 0.526 0.000
0.974 0.974 0.000
0.250 0.750 0.500
```

Values from the calculation:
Symmetry = No. 71
Calculated volume = 88.6 Å³/cell
Relative energy among the computed polymorphs = 90 meV per atom

***

20.
Here is an optimized crystal structure of Sr4TcAg from Alexandria via LeMat-Bulk. Energies are from GGA-PBE.

POSCAR file:
```
Sr4TcAg
1.0
0.000 4.876 4.876
4.876 0.000 4.876
4.876 4.876 0.000
Ag Sr Tc
1 4 1
Direct
0.000 0.000 0.000
0.376 0.872 0.376
0.376 0.376 0.872
0.376 0.376 0.376
0.872 0.376 0.376
0.750 0.750 0.750
```

Values from the calculation:
Symmetry = No. 216
Calculated volume = 231.9 Å³/cell
Uncorrected energy = -2.197 eV per atom

***

21.
Here is an optimized crystal structure of SrTcAg3 from Alexandria via LeMat-Bulk. Energies are from GGA-PBE.

POSCAR file:
```
SrTcAg3
1.0
-3.155 2.707 3.669
-4.455 -2.777 -1.782
0.968 -3.962 3.755
Ag Sr Tc
3 1 1
Direct
0.000 0.000 0.500
0.500 0.000 0.000
0.000 0.500 0.000
0.000 0.000 0.000
0.500 0.500 0.500
```

Values from the calculation:
Symmetry = No. 221
Calculated volume = 170.4 Å³/cell
Relative energy among the computed polymorphs = 1072 meV per atom

***

22.
Here is an optimized crystal structure of SrTcAg3 from Alexandria via LeMat-Bulk. Energies are from GGA-PBE.

POSCAR file:
```
SrTcAg3
1.0
-3.088 -0.775 -4.075
-2.149 -4.046 2.398
-3.548 3.126 2.094
Ag Tc Sr
3 1 1
Direct
0.000 0.000 0.500
0.000 0.500 0.000
0.500 0.000 0.000
0.000 0.000 0.000
0.500 0.500 0.500
```

Values from the calculation:
Symmetry = No. 221
Calculated volume = 138.3 Å³/cell
Relative energy among the computed polymorphs = 0 meV per atom

***

23.
Here is an optimized crystal structure of SrTc3Ag from Alexandria via LeMat-Bulk. Energies are from GGA-PBE.

POSCAR file:
```
SrTc3Ag
1.0
5.053 0.000 0.000
0.000 5.053 0.000
0.000 0.000 5.053
Tc Ag Sr
3 1 1
Direct
0.000 0.500 0.000
0.500 0.000 0.000
0.000 0.000 0.500
0.000 0.000 0.000
0.500 0.500 0.500
```

Values from the calculation:
Symmetry = No. 221
Calculated volume = 129.0 Å³/cell
Relative energy among the computed polymorphs = 0 meV per atom

***

24.
Here is an optimized crystal structure of SrTcAg2 from Alexandria via LeMat-Bulk. Energies are from GGA-PBE.

POSCAR file:
```
SrTcAg2
1.0
-4.639 -1.569 -2.020
-3.416 -3.944 -0.911
-3.192 0.583 4.767
Tc Sr Ag
1 1 2
Direct
0.250 0.250 0.250
0.750 0.750 0.750
0.515 0.515 0.454
0.985 0.985 0.046
```

Values from the calculation:
Symmetry = No. 12
Calculated volume = 84.1 Å³/cell
Relative energy among the computed polymorphs = 54 meV per atom

***

25.
Here is an optimized crystal structure of SrTcAg2 from Alexandria via LeMat-Bulk. Energies are from GGA-PBE.

POSCAR file:
```
SrTcAg2
1.0
4.912 0.000 0.000
0.000 4.912 0.000
2.456 2.456 9.374
Ag Tc Sr
4 2 2
Direct
0.875 0.009 0.750
0.375 0.241 0.750
0.759 0.125 0.250
0.991 0.625 0.250
0.750 0.250 0.500
0.000 0.000 0.000
0.250 0.750 0.500
0.500 0.500 0.000
```

Values from the calculation:
Symmetry = No. 122
Calculated volume = 226.2 Å³/cell
Relative energy among the computed polymorphs = 291 meV per atom

***

26.
Here is an optimized crystal structure of SrTcAg2 from Alexandria via LeMat-Bulk. Energies are from GGA-PBE.

POSCAR file:
```
SrTcAg2
1.0
-4.079 4.804 -2.944
-0.435 -5.139 -1.134
-2.895 0.037 0.934
Sr Tc Ag
1 1 2
Direct
0.000 0.500 0.500
0.500 0.500 0.000
0.500 0.000 0.500
0.000 0.000 0.000
```

Values from the calculation:
Symmetry = No. 65
Calculated volume = 81.0 Å³/cell
Relative energy among the computed polymorphs = 58 meV per atom

***

27.
Here is an optimized crystal structure of SrTcAg2 from Alexandria via LeMat-Bulk. Energies are from GGA-PBE.

POSCAR file:
```
SrTcAg2
1.0
5.844 0.006 0.016
2.657 5.206 -0.016
-3.743 -3.434 2.891
Ag Tc Sr
2 1 1
Direct
0.230 0.730 0.500
0.996 0.996 0.000
0.771 0.271 0.500
0.503 0.503 0.000
```

Values from the calculation:
Symmetry = No. 44
Calculated volume = 87.7 Å³/cell
Relative energy among the computed polymorphs = 70 meV per atom

***

28.
Here is an optimized crystal structure of SrTcAg2 from Alexandria via LeMat-Bulk. Energies are from GGA-PBE.

POSCAR file:
```
SrTcAg2
1.0
0.000 3.557 3.557
3.557 0.000 3.557
3.557 3.557 0.000
Ag Sr Tc
2 1 1
Direct
0.250 0.250 0.250
0.750 0.750 0.750
0.000 0.000 0.000
0.500 0.500 0.500
```

Values from the calculation:
Symmetry = No. 225
Calculated volume = 90.0 Å³/cell
Relative energy among the computed polymorphs = 47 meV per atom